# 1
# Be2AgMo | Alexandria | GGA-PBE | optimized geometry
# ΔH_f (0 K) = 0.648 eV per atom
# VASP energy = -4.636 eV/atom
# theoretical density = 6.8 g/cm3
# spin magnetization = 7.13 μB/cell
data_Be2AgMo
_cell_length_a 6.0073
_cell_length_b 6.0073
_cell_length_c 6.0073
_cell_angle_alpha 90.00
_cell_angle_beta 90.00
_cell_angle_gamma 90.00
_space_group_name_H-M_alt 'F -4 3 m'
_space_group_IT_number 216
_space_group_name_Hall 'F -4 2 3'
loop_
_atom_site_label
_atom_site_fract_x
_atom_site_fract_y
_atom_site_fract_z
Be1 0.0000 0.0000 0.0000
Be2 0.2500 0.2500 0.2500
Ag1 0.0000 0.0000 0.5000
Mo1 0.2500 0.2500 0.7500

=====

# 2
# ZrCdS2N | Alexandria | GGA-PBE | optimized geometry
# VASP energy = -4.582 eV/atom
# theoretical density = 3.2 g/cm3
# spin magnetization = 2.99 μB/cell
data_ZrCdS2N
_cell_length_a 4.9380
_cell_length_b 4.9380
_cell_length_c 6.0495
_cell_angle_alpha 90.00
_cell_angle_beta 90.00
_cell_angle_gamma 90.00
_space_group_name_H-M_alt 'P 4/m m m'
_space_group_IT_number 123
_space_group_name_Hall '-P 4 2'
loop_
_atom_site_label
_atom_site_fract_x
_atom_site_fract_y
_atom_site_fract_z
Zr1 0.0000 0.0000 0.0000
Cd1 0.0000 0.0000 0.5000
S1 0.0000 0.5000 0.0000
N1 0.5000 0.5000 0.5000

=====

# 3
# Na2CaSbF | Alexandria | GGA-PBE | optimized geometry
# VASP energy = -3.681 eV/atom
# theoretical density = 3.4 g/cm3
# spin magnetization = 0.00 μB/cell
data_Na2CaSbF
_cell_length_a 4.6887
_cell_length_b 4.6887
_cell_length_c 4.9724
_cell_angle_alpha 90.00
_cell_angle_beta 90.00
_cell_angle_gamma 90.00
_space_group_name_H-M_alt 'P 4/m m m'
_space_group_IT_number 123
_space_group_name_Hall '-P 4 2'
loop_
_atom_site_label
_atom_site_fract_x
_atom_site_fract_y
_atom_site_fract_z
Na1 0.0000 0.5000 0.0000
Ca1 0.0000 0.0000 0.5000
Sb1 0.5000 0.5000 0.5000
F1 0.0000 0.0000 0.0000

=====

The lowest theoretical density belongs to which entry?
ZrCdS2N

=====

Which of these has the highest VASP energy?
Na2CaSbF